VASP calculation (PBE) on an optimized crystal structure of Cr2InRh.

Values from the calculation:
For the energy, the calculation gives -7.267 eV per atom. As for the symmetry: I-4m2.

Cell and atoms, written as extended XYZ:
```
4
Lattice="-2.029 2.029 3.800 2.029 -2.029 3.800 2.029 2.029 -3.800" Properties=species:S:1:pos:R:3 pbc="T T T"
Cr 0.000 0.000 0.000
Cr 0.000 2.029 1.900
In 2.029 0.000 1.900
Rh 0.000 0.000 3.800
```

VASP calculation (PBE) on an optimized crystal structure of NaTm2Zn.

Values from the calculation:
The value obtained for the energy relative to the lowest polymorph listed for this composition is 0.113 eV per atom. As for the symmetry: R-3m.

Cell and atoms, written as extended XYZ:
```
4
Lattice="1.725 0.996 11.370 -1.725 0.996 11.370 0.000 -1.992 11.370" Properties=species:S:1:pos:R:3 pbc="T T T"
Na 0.000 0.000 0.000
Tm 0.000 0.000 3.495
Tm 0.000 0.000 30.614
Zn 0.000 0.000 17.055
```

VASP calculation (PBE) on an optimized crystal structure of Na4InBi2.

Values from the calculation:
The value obtained for the energy relative to the lowest polymorph listed for this composition is 0.000 eV per atom. As for the symmetry: Fmmm.

Cell and atoms, written as extended XYZ:
```
7
Lattice="0.000 4.985 6.468 3.473 0.000 6.468 3.473 4.985 0.000" Properties=species:S:1:pos:R:3 pbc="T T T"
Na 1.737 2.492 0.000
Na 1.737 2.492 3.234
Na 1.737 2.492 6.468
Na 5.210 7.477 9.701
In 0.000 0.000 0.000
Bi 3.473 4.985 4.900
Bi 3.473 4.985 8.036
```

VASP calculation (PBE) on an optimized crystal structure of LaPr2SmHo2.

Values from the calculation:
For the energy, the calculation gives -4.664 eV per atom. As for the symmetry: Pnnm.

Cell and atoms, written as extended XYZ:
```
12
Lattice="7.116 0.000 0.000 0.000 10.003 0.000 0.000 0.000 5.767" Properties=species:S:1:pos:R:3 pbc="T T T"
La 0.000 0.000 0.000
La 3.558 5.001 2.883
Pr 1.764 3.330 0.000
Pr 1.793 8.331 2.883
Pr 5.322 1.672 2.883
Pr 5.351 6.673 0.000
Sm 0.000 5.001 2.883
Sm 3.558 0.000 0.000
Ho 1.778 1.663 2.883
Ho 1.780 6.665 0.000
Ho 5.336 3.338 0.000
Ho 5.337 8.340 2.883
```

Which density of states at the Fermi level belongs to each record? In order, 1.103; 1.009; 0.446; 1.561 states/eV/atom.